Entry 1:
Entry from Alexandria via LeMat-Bulk: a relaxed structure of LiHfSe2S (PBE).

a = 4.181 Å, b = 4.181 Å, c = 5.611 Å
α = 90.00°, β = 90.00°, γ = 90.00°
Space group P4/mmm (No. 123)
Inequivalent atoms, fractional coordinates:
Li (0.000, 0.000, 0.000) (multiplicity 1)
Hf (0.000, 0.000, 0.500) (multiplicity 1)
Se (0.000, 0.500, 0.000) (multiplicity 2)
S (0.500, 0.500, 0.500) (multiplicity 1)

Output
DOS at the Fermi energy: 3.618 states/eV/cell
energy relative to the elements, uncorrected: 89 kJ/mol of formula units
calculated density: 6.4 g/cm³

Entry 2:
Entry from Alexandria via LeMat-Bulk: a relaxed structure of Li2SmHfS4 (PBE).

a = 6.573 Å, b = 3.766 Å, c = 6.602 Å
α = 90.00°, β = 109.22°, γ = 90.00°
Space group P2/m (No. 10)
Inequivalent atoms, fractional coordinates:
Li (0.000, 0.000, 0.000) (multiplicity 1)
Li (0.000, 0.500, 0.500) (multiplicity 1)
Sm (0.500, 0.000, 0.500) (multiplicity 1)
Hf (0.500, 0.500, 0.000) (multiplicity 1)
S (0.243, 0.500, 0.227) (multiplicity 2)
S (0.253, 0.000, 0.770) (multiplicity 2)

Output
DOS at the Fermi energy: 2.642 states/eV/cell
energy relative to the elements, uncorrected: -1250 kJ/mol of formula units
calculated density: 5.1 g/cm³

Entry 3:
Entry from Alexandria via LeMat-Bulk: a relaxed structure of LiHfSn2S5 (PBE).

a = 3.717 Å, b = 16.447 Å, c = 13.395 Å
α = 90.00°, β = 90.00°, γ = 90.00°
Space group Cmc2_1 (No. 36)
Inequivalent atoms, fractional coordinates:
Li (0.000, 0.065, 0.000) (multiplicity 4)
Hf (0.000, 0.273, 0.571) (multiplicity 4)
Sn (0.000, 0.391, 0.813) (multiplicity 4)
Sn (0.000, 0.408, 0.191) (multiplicity 4)
S (0.000, 0.013, 0.822) (multiplicity 4)
S (0.000, 0.115, 0.556) (multiplicity 4)
S (0.000, 0.213, 0.950) (multiplicity 4)
S (0.000, 0.248, 0.211) (multiplicity 4)
S (0.000, 0.421, 0.619) (multiplicity 4)

Output
DOS at the Fermi energy: 6.041 states/eV/cell
energy relative to the elements, uncorrected: -777 kJ/mol of formula units
calculated density: 4.7 g/cm³

Entry 4:
Entry from Alexandria via LeMat-Bulk: a relaxed structure of LiHf2SnS (PBE).

a = 4.886 Å, b = 4.886 Å, c = 4.248 Å
α = 90.00°, β = 90.00°, γ = 90.00°
Space group P4/mmm (No. 123)
Inequivalent atoms, fractional coordinates:
Li (0.000, 0.000, 0.000) (multiplicity 1)
Hf (0.000, 0.500, 0.000) (multiplicity 2)
Sn (0.000, 0.000, 0.500) (multiplicity 1)
S (0.500, 0.500, 0.500) (multiplicity 1)

Output
DOS at the Fermi energy: 5.137 states/eV/cell
energy relative to the elements, uncorrected: 245 kJ/mol of formula units
calculated density: 8.4 g/cm³

Entry 5:
Entry from Alexandria via LeMat-Bulk: a relaxed structure of LiHfSnS4 (PBE).

a = 7.449 Å, b = 7.643 Å, c = 11.116 Å
α = 90.00°, β = 90.00°, γ = 90.00°
Space group Imma (No. 74)
Inequivalent atoms, fractional coordinates:
Li (0.000, 0.250, 0.126) (multiplicity 4)
Hf (0.250, 0.250, 0.750) (multiplicity 4)
Sn (0.000, 0.000, 0.500) (multiplicity 4)
S (0.000, 0.017, 0.743) (multiplicity 8)
S (0.247, 0.250, 0.978) (multiplicity 8)

Output
DOS at the Fermi energy: 6.942 states/eV/cell
energy relative to the elements, uncorrected: -753 kJ/mol of formula units
calculated density: 4.5 g/cm³

Entry 6:
Entry from Alexandria via LeMat-Bulk: a relaxed structure of SrLi2HfS4 (PBE).

a = 6.715 Å, b = 6.715 Å, c = 8.078 Å
α = 90.00°, β = 90.00°, γ = 90.00°
Space group I-42m (No. 121)
Inequivalent atoms, fractional coordinates:
Sr (0.000, 0.000, 0.000) (multiplicity 2)
Li (0.000, 0.500, 0.250) (multiplicity 4)
Hf (0.000, 0.000, 0.500) (multiplicity 2)
S (0.208, 0.208, 0.668) (multiplicity 8)

Output
DOS at the Fermi energy: 0.000 states/eV/cell
energy relative to the elements, uncorrected: -1223 kJ/mol of formula units
calculated density: 3.7 g/cm³

> Which of these has the lowest energy relative to the elements, uncorrected?

Li2SmHfS4